Entry 1:
The following is a DFT calculation (PBE with a Hubbard U) of a relaxed MnTl2Cl2F4 crystal.

Calculated values
**Total magnetic moment**: 2.98 μB per formula unit

Cell lengths 6.3703, 6.3703, 6.3703 Å; angles 95.76, 116.73, 116.73 degrees
Each line ends with the local moment (μB).
Fractional coordinates of all 9 atoms:
Cl  0.0000  0.7281  0.7281  -0.09
F  0.3912  0.1956  0.1956  -0.01
F  0.0000  0.8044  0.1956  -0.01
F  0.6088  0.8044  0.8044  -0.01
F  0.0000  0.1956  0.8044  -0.01
Cl  0.0000  0.2719  0.2719  -0.09
Tl  0.5000  0.2500  0.7500  0.00
Tl  0.5000  0.7500  0.2500  0.00
Mn  0.0000  0.0000  0.0000  3.15

Entry 2:
The following is a DFT calculation (PBE with a Hubbard U) of a relaxed MnTl2Cl3F crystal.

Calculated values
**Total magnetic moment**: 5.00 μB per formula unit

Cell lengths 4.1940, 5.2003, 9.0538 Å; angles 106.69, 103.39, 90.00 degrees
Each line ends with the local moment (μB).
Fractional coordinates of all 7 atoms:
Tl  0.3514  0.3514  0.7028  0.00
Tl  0.6486  0.6486  0.2972  0.00
Cl  0.8449  0.8449  0.6898  0.01
Cl  0.0000  0.5000  0.0000  0.03
F  0.5000  0.0000  0.0000  0.05
Cl  0.1551  0.1551  0.3102  0.01
Mn  0.0000  0.0000  0.0000  4.65

Entry 3:
The following is a DFT calculation (PBE with a Hubbard U) of a relaxed Mn3ZnCl2F6 crystal.

Calculated values
**Total magnetic moment**: 15.00 μB per formula unit

Cell lengths 5.1868, 6.4999, 6.5872 Å; angles 119.56, 82.49, 90.00 degrees
Each line ends with the local moment (μB).
Fractional coordinates of all 12 atoms:
F  0.3326  0.1673  0.3347  0.04
Zn  0.5000  0.0000  0.0000  0.01
F  0.2825  0.6757  0.8593  0.04
Cl  0.1807  0.6904  0.3807  0.04
Cl  0.8193  0.3096  0.6193  0.04
F  0.2825  0.1836  0.8593  0.04
F  0.7175  0.3243  0.1407  0.04
F  0.6674  0.8327  0.6653  0.04
Mn  0.5000  0.5000  0.5000  4.67
F  0.7175  0.8164  0.1407  0.04
Mn  0.0000  0.5000  0.0000  4.68
Mn  0.5000  0.0000  0.5000  4.67

no.,uncorrected energy (eV/cell),ρ (g cm⁻³)
1,-38.7,5.315
2,-29.6,5.330
3,-64.7,3.610